A relaxed structure of La4SnTe2Se. Source: Alexandria, functional GGA-PBE.

Unit cell a=7.815 b=4.548 c=7.924 alpha=90.00 beta=109.51 gamma=90.00
Space group P2/m (No. 10)
Symmetry-distinct sites (fractional):
La (0.240, 0.000, 0.233)
La (0.249, 0.500, 0.762)
Sn (0.500, 0.000, 0.000)
Te (0.000, 0.000, 0.500)
Te (0.500, 0.500, 0.500)
Se (0.000, 0.500, 0.000)

Output
- magnetization (μB/cell) = 0.00
- uncorrected formation energy (eV/atom) = -1.512
- energy (Ry per atom) = -0.41871